1.
Computed, not measured: a relaxed Th2Al3Mo crystal at the PBE-GGA level of DFT.

abc: 5.662 5.662 5.662
angles: 59.43 59.43 59.43
Fractional coordinates of all 6 atoms:
Th1 0.131 0.131 0.131
Th2 0.869 0.869 0.869
Al1 0.000 0.500 0.500
Al2 0.500 0.000 0.500
Al3 0.500 0.500 0.000
Mo1 0.500 0.500 0.500

Properties
- Formation enthalpy at 0 K: -1.89 eV/f.u.
- DOS(E_F): 0.93 states/eV per atom



2.
Computed, not measured: a relaxed ZrSbTe2N crystal at the PBE-GGA level of DFT.

abc: 4.790 4.790 4.682
angles: 90.00 90.00 90.00
Fractional coordinates of all 5 atoms:
Zr1 0.000 0.000 0.000
Sb1 0.500 0.500 0.000
Te1 0.000 0.500 0.500
Te2 0.500 0.000 0.500
N1 0.500 0.500 0.500

Properties
- ΔE_f (raw): 0.367 eV/atom
- DOS(E_F): 0.80 states/eV per atom



3.
Computed, not measured: a relaxed TlAgPd2F8 crystal at the PBE-GGA level of DFT.

abc: 6.175 6.175 6.366
angles: 90.00 90.00 120.00
Fractional coordinates of all 12 atoms:
Tl1 0.000 0.000 0.000
Ag1 0.000 0.000 0.500
Pd1 0.333 0.667 0.447
Pd2 0.667 0.333 0.553
F1 0.058 0.376 0.642
F2 0.318 0.942 0.642
F3 0.333 0.667 0.132
F4 0.376 0.318 0.358
F5 0.624 0.682 0.642
F6 0.667 0.333 0.868
F7 0.682 0.058 0.358
F8 0.942 0.624 0.358

Properties
- ΔE_f (raw): -1.091 eV/atom
- DOS(E_F): 0.01 states/eV per atom



4.
Computed, not measured: a relaxed Ti5Sn2Au crystal at the PBE-GGA level of DFT.

abc: 5.412 5.412 16.904
angles: 90.00 90.00 142.76
Fractional coordinates of all 16 atoms:
Ti1 0.032 0.968 0.597
Ti2 0.032 0.968 0.903
Ti3 0.366 0.634 0.516
Ti4 0.366 0.634 0.984
Ti5 0.409 0.591 0.750
Ti6 0.591 0.409 0.250
Ti7 0.634 0.366 0.016
Ti8 0.634 0.366 0.484
Ti9 0.968 0.032 0.097
Ti10 0.968 0.032 0.403
Sn1 0.241 0.759 0.139
Sn2 0.241 0.759 0.361
Sn3 0.759 0.241 0.639
Sn4 0.759 0.241 0.861
Au1 0.121 0.879 0.750
Au2 0.879 0.121 0.250

Properties
- Formation enthalpy at 0 K: -1.88 eV/f.u.
- DOS(E_F): 0.98 states/eV per atom



5.
Computed, not measured: a relaxed CaDyIr crystal at the PBE-GGA level of DFT.

abc: 5.301 4.469 7.276
angles: 90.00 105.74 90.00
Fractional coordinates of all 6 atoms:
Ca1 0.240 0.250 0.437
Ca2 0.760 0.750 0.563
Dy1 0.235 0.250 0.953
Dy2 0.765 0.750 0.047
Ir1 0.315 0.750 0.202
Ir2 0.685 0.250 0.798

Properties
- Formation enthalpy at 0 K: -1.67 eV/f.u.
- DOS(E_F): 0.27 states/eV per atom



6.
Computed, not measured: a relaxed Ac2PaTe5 crystal at the PBE-GGA level of DFT.

abc: 11.679 11.380 5.907
angles: 90.00 119.16 90.00
Fractional coordinates of all 16 atoms:
Ac1 0.000 0.214 0.000
Ac2 0.000 0.786 0.000
Ac3 0.500 0.286 0.000
Ac4 0.500 0.714 0.000
Pa1 0.304 0.500 0.337
Pa2 0.804 0.000 0.337
Te1 0.008 0.500 0.051
Te2 0.097 0.000 0.706
Te3 0.274 0.500 0.810
Te4 0.330 0.230 0.351
Te5 0.330 0.770 0.351
Te6 0.508 0.000 0.051
Te7 0.597 0.500 0.706
Te8 0.774 0.000 0.810
Te9 0.830 0.270 0.351
Te10 0.830 0.730 0.351

Properties
- ΔE_f (raw): -1.151 eV/atom
- DOS(E_F): 0.77 states/eV per atom



7.
Computed, not measured: a relaxed Pu3U4PaAs8 crystal at the PBE-GGA level of DFT.

abc: 8.174 8.174 8.291
angles: 119.91 119.91 59.64
Fractional coordinates of all 16 atoms:
Pu1 0.000 0.000 0.000
Pu2 0.000 0.500 0.500
Pu3 0.500 0.000 0.500
U1 0.000 0.000 0.500
U2 0.000 0.500 0.000
U3 0.500 0.000 0.000
U4 0.500 0.500 0.500
Pa1 0.500 0.500 0.000
As1 0.250 0.250 0.752
As2 0.250 0.748 0.250
As3 0.252 0.252 0.249
As4 0.252 0.750 0.750
As5 0.748 0.250 0.250
As6 0.748 0.748 0.751
As7 0.750 0.252 0.750
As8 0.750 0.750 0.248

Properties
- Formation enthalpy at 0 K: -13.94 eV/f.u.
- DOS(E_F): 3.12 states/eV per atom



8.
Computed, not measured: a relaxed Pm2Sm9Er crystal at the PBE-GGA level of DFT.

abc: 5.119 5.119 15.351
angles: 90.00 90.00 90.00
Fractional coordinates of all 12 atoms:
Pm1 0.000 0.000 0.168
Pm2 0.000 0.000 0.832
Sm1 0.000 0.500 0.000
Sm2 0.000 0.500 0.335
Sm3 0.000 0.500 0.665
Sm4 0.500 0.000 0.000
Sm5 0.500 0.000 0.335
Sm6 0.500 0.000 0.665
Sm7 0.500 0.500 0.168
Sm8 0.500 0.500 0.500
Sm9 0.500 0.500 0.832
Er1 0.000 0.000 0.500

Properties
- Formation enthalpy at 0 K: 0.22 eV/f.u.
- DOS(E_F): 1.65 states/eV per atom



9.
Computed, not measured: a relaxed KInW2 crystal at the PBE-GGA level of DFT.

abc: 3.681 3.681 7.667
angles: 90.00 90.00 90.00
Fractional coordinates of all 4 atoms:
K1 0.000 0.000 0.000
In1 0.000 0.000 0.500
W1 0.500 0.500 0.351
W2 0.500 0.500 0.649

Properties
- Formation enthalpy at 0 K: 5.15 eV/f.u.
- DOS(E_F): 0.64 states/eV per atom



10.
Computed, not measured: a relaxed NiHgBr crystal at the PBE-GGA level of DFT.

abc: 13.233 3.798 5.338
angles: 90.00 91.10 90.00
Fractional coordinates of all 12 atoms:
Ni1 0.000 0.000 0.000
Ni2 0.222 0.000 0.755
Ni3 0.500 0.500 0.000
Ni4 0.722 0.500 0.755
Hg1 0.087 0.500 0.740
Hg2 0.178 0.000 0.262
Hg3 0.587 0.000 0.740
Hg4 0.678 0.500 0.262
Br1 0.336 0.500 0.749
Br2 0.449 0.000 0.250
Br3 0.836 0.000 0.749
Br4 0.949 0.500 0.250

Properties
- ΔE_f (raw): -0.026 eV/atom
- DOS(E_F): 0.61 states/eV per atom



11.
Computed, not measured: a relaxed Cd2TeI crystal at the PBE-GGA level of DFT.

abc: 4.973 4.982 6.821
angles: 90.05 90.19 90.02
Fractional coordinates of all 4 atoms:
Cd1 0.000 0.000 0.000
Cd2 0.498 0.500 0.440
Te1 0.501 0.999 0.221
I1 0.000 0.499 0.721

Properties
- ΔE_f (raw): -0.227 eV/atom
- DOS(E_F): 0.54 states/eV per atom



12.
Computed, not measured: a relaxed Tl5B2Pd12 crystal at the PBE-GGA level of DFT.

abc: 7.842 7.842 8.096
angles: 99.58 99.58 44.43
Fractional coordinates of all 19 atoms:
Tl1 0.000 0.000 0.000
Tl2 0.228 0.228 0.258
Tl3 0.344 0.344 0.807
Tl4 0.656 0.656 0.193
Tl5 0.772 0.772 0.742
B1 0.263 0.737 0.500
B2 0.737 0.263 0.500
Pd1 0.022 0.022 0.677
Pd2 0.077 0.607 0.092
Pd3 0.105 0.604 0.502
Pd4 0.393 0.923 0.908
Pd5 0.396 0.895 0.498
Pd6 0.478 0.478 0.304
Pd7 0.522 0.522 0.696
Pd8 0.604 0.105 0.502
Pd9 0.607 0.077 0.092
Pd10 0.895 0.396 0.498
Pd11 0.923 0.393 0.908
Pd12 0.978 0.978 0.323

Properties
- Formation enthalpy at 0 K: -2.55 eV/f.u.
- DOS(E_F): 0.38 states/eV per atom



13.
Computed, not measured: a relaxed TlPOs2 crystal at the PBE-GGA level of DFT.

abc: 2.941 5.278 8.656
angles: 90.00 90.00 90.00
Fractional coordinates of all 8 atoms:
Tl1 0.000 0.000 0.000
Tl2 0.500 0.500 0.000
P1 0.000 0.000 0.500
P2 0.500 0.500 0.500
Os1 0.000 0.500 0.297
Os2 0.000 0.500 0.703
Os3 0.500 0.000 0.297
Os4 0.500 0.000 0.703

Properties
- Formation enthalpy at 0 K: 2.67 eV/f.u.
- DOS(E_F): 0.65 states/eV per atom



14.
Computed, not measured: a relaxed Hf4Fe2Os crystal at the PBE-GGA level of DFT.

abc: 6.331 6.331 6.313
angles: 90.00 90.00 90.00
Fractional coordinates of all 14 atoms:
Hf1 0.250 0.250 0.250
Hf2 0.250 0.250 0.750
Hf3 0.250 0.750 0.250
Hf4 0.250 0.750 0.750
Hf5 0.750 0.250 0.250
Hf6 0.750 0.250 0.750
Hf7 0.750 0.750 0.250
Hf8 0.750 0.750 0.750
Fe1 0.000 0.500 0.000
Fe2 0.000 0.500 0.500
Fe3 0.500 0.000 0.000
Fe4 0.500 0.000 0.500
Os1 0.000 0.000 0.000
Os2 0.500 0.500 0.500

Properties
- Formation enthalpy at 0 K: -1.78 eV/f.u.
- DOS(E_F): 0.67 states/eV per atom



15.
Computed, not measured: a relaxed LaGdHgGe crystal at the PBE-GGA level of DFT.

abc: 7.520 7.520 7.520
angles: 90.00 90.00 90.00
Fractional coordinates of all 16 atoms:
La1 0.000 0.000 0.000
La2 0.000 0.500 0.500
La3 0.500 0.000 0.500
La4 0.500 0.500 0.000
Gd1 0.000 0.000 0.500
Gd2 0.000 0.500 0.000
Gd3 0.500 0.000 0.000
Gd4 0.500 0.500 0.500
Hg1 0.250 0.250 0.750
Hg2 0.250 0.750 0.250
Hg3 0.750 0.250 0.250
Hg4 0.750 0.750 0.750
Ge1 0.250 0.250 0.250
Ge2 0.250 0.750 0.750
Ge3 0.750 0.250 0.750
Ge4 0.750 0.750 0.250

Properties
- Formation enthalpy at 0 K: -2.37 eV/f.u.
- DOS(E_F): 0.95 states/eV per atom



16.
Computed, not measured: a relaxed Al2OsPb crystal at the PBE-GGA level of DFT.

abc: 8.308 3.301 5.875
angles: 90.00 102.72 90.00
Fractional coordinates of all 8 atoms:
Al1 0.229 0.000 0.167
Al2 0.271 0.500 0.833
Al3 0.729 0.500 0.167
Al4 0.771 0.000 0.833
Os1 0.000 0.500 0.000
Os2 0.500 0.000 0.000
Pb1 0.000 0.000 0.500
Pb2 0.500 0.500 0.500

Properties
- Formation enthalpy at 0 K: 0.79 eV/f.u.
- DOS(E_F): 0.47 states/eV per atom



17.
Computed, not measured: a relaxed Nd3Ga7Co2 crystal at the PBE-GGA level of DFT.

abc: 11.652 11.652 4.578
angles: 90.00 90.00 157.53
Fractional coordinates of all 12 atoms:
Nd1 0.000 0.000 0.000
Nd2 0.186 0.814 0.000
Nd3 0.814 0.186 0.000
Ga1 0.096 0.904 0.500
Ga2 0.286 0.714 0.500
Ga3 0.405 0.595 0.000
Ga4 0.500 0.500 0.500
Ga5 0.595 0.405 0.000
Ga6 0.714 0.286 0.500
Ga7 0.904 0.096 0.500
Co1 0.396 0.604 0.500
Co2 0.604 0.396 0.500

Properties
- Formation enthalpy at 0 K: -5.81 eV/f.u.
- DOS(E_F): 0.62 states/eV per atom



18.
Computed, not measured: a relaxed SiSb2Te crystal at the PBE-GGA level of DFT.

abc: 4.188 4.188 21.140
angles: 90.00 90.00 120.00
Fractional coordinates of all 12 atoms:
Si1 0.000 0.000 0.000
Si2 0.333 0.667 0.667
Si3 0.667 0.333 0.333
Sb1 0.000 0.000 0.264
Sb2 0.000 0.000 0.736
Sb3 0.333 0.667 0.403
Sb4 0.333 0.667 0.931
Sb5 0.667 0.333 0.069
Sb6 0.667 0.333 0.597
Te1 0.000 0.000 0.500
Te2 0.333 0.667 0.167
Te3 0.667 0.333 0.833

Properties
- ΔE_f (raw): 0.140 eV/atom
- DOS(E_F): 0.57 states/eV per atom



19.
Computed, not measured: a relaxed Tb2Dy3Mg8 crystal at the PBE-GGA level of DFT.

abc: 12.804 12.804 12.804
angles: 26.35 26.35 26.35
Fractional coordinates of all 13 atoms:
Tb1 0.140 0.140 0.140
Tb2 0.860 0.860 0.860
Dy1 0.316 0.316 0.316
Dy2 0.500 0.500 0.500
Dy3 0.684 0.684 0.684
Mg1 0.225 0.225 0.225
Mg2 0.230 0.230 0.729
Mg3 0.230 0.729 0.230
Mg4 0.271 0.770 0.770
Mg5 0.729 0.230 0.230
Mg6 0.770 0.271 0.770
Mg7 0.770 0.770 0.271
Mg8 0.775 0.775 0.775

Properties
- Formation enthalpy at 0 K: 1.59 eV/f.u.
- DOS(E_F): 1.09 states/eV per atom



20.
Computed, not measured: a relaxed LaSbPb crystal at the PBE-GGA level of DFT.

abc: 7.560 7.560 7.560
angles: 90.00 90.00 90.00
Fractional coordinates of all 12 atoms:
La1 0.000 0.000 0.000
La2 0.000 0.500 0.500
La3 0.500 0.000 0.500
La4 0.500 0.500 0.000
Sb1 0.250 0.250 0.250
Sb2 0.250 0.750 0.750
Sb3 0.750 0.250 0.750
Sb4 0.750 0.750 0.250
Pb1 0.000 0.000 0.500
Pb2 0.000 0.500 0.000
Pb3 0.500 0.000 0.000
Pb4 0.500 0.500 0.500

Properties
- ΔE_f (raw): -0.440 eV/atom
- DOS(E_F): 0.46 states/eV per atom



21.
Computed, not measured: a relaxed CeGa4PdPt2 crystal at the PBE-GGA level of DFT.

abc: 9.108 9.108 9.108
angles: 27.47 27.47 27.47
Fractional coordinates of all 8 atoms:
Ce1 0.000 0.000 0.000
Ga1 0.131 0.131 0.131
Ga2 0.398 0.398 0.398
Ga3 0.602 0.602 0.602
Ga4 0.869 0.869 0.869
Pd1 0.500 0.500 0.500
Pt1 0.240 0.240 0.240
Pt2 0.760 0.760 0.760

Properties
- Formation enthalpy at 0 K: -5.50 eV/f.u.
- DOS(E_F): 1.02 states/eV per atom



22.
Computed, not measured: a relaxed Be2TcPb crystal at the PBE-GGA level of DFT.

abc: 4.031 4.031 3.415
angles: 90.00 90.00 90.00
Fractional coordinates of all 4 atoms:
Be1 0.000 0.500 0.000
Be2 0.500 0.000 0.000
Tc1 0.000 0.000 0.500
Pb1 0.500 0.500 0.500

Properties
- Formation enthalpy at 0 K: 1.99 eV/f.u.
- DOS(E_F): 0.56 states/eV per atom



23.
Computed, not measured: a relaxed RbHfBeN2 crystal at the PBE-GGA level of DFT.

abc: 4.040 4.040 4.352
angles: 90.00 90.00 90.00
Fractional coordinates of all 5 atoms:
Rb1 0.000 0.000 0.000
Hf1 0.500 0.500 0.000
Be1 0.500 0.500 0.500
N1 0.000 0.500 0.500
N2 0.500 0.000 0.500

Properties
- ΔE_f (raw): 1.737 eV/atom
- DOS(E_F): 0.89 states/eV per atom



24.
Computed, not measured: a relaxed TlAs6S8 crystal at the PBE-GGA level of DFT.

abc: 7.730 7.730 7.730
angles: 93.78 93.78 93.78
Fractional coordinates of all 15 atoms:
Tl1 0.000 0.000 0.000
As1 0.202 0.539 0.434
As2 0.434 0.202 0.539
As3 0.461 0.566 0.798
As4 0.539 0.434 0.202
As5 0.566 0.798 0.461
As6 0.798 0.461 0.566
S1 0.107 0.425 0.674
S2 0.268 0.268 0.268
S3 0.326 0.893 0.575
S4 0.425 0.674 0.107
S5 0.575 0.326 0.893
S6 0.674 0.107 0.425
S7 0.732 0.732 0.732
S8 0.893 0.575 0.326

Properties
- ΔE_f (raw): 0.037 eV/atom
- DOS(E_F): 0.29 states/eV per atom



Magnetization across the listed records, respectively: 0.000, 0.000, 0.507, 0.000, 0.000, 0.131, 1.004, 0.000, 0.000, 0.042, 0.000, 0.000, 0.000, 0.000, 1.865, 0.000, 0.000, 0.000, 0.000, 0.000, 0.073, 0.000, 0.000, 0.000 μB/atom.